[1]
PBE-GGA CrNiRh6, relaxed; excess energy over the best structure of this formula in the dataset = 0.000 eV/atom; E_form = -0.452 eV per formula unit; calculated volume = 109 Å³/cell; crystal system = tetragonal
1.0
3.790 0.000 0.000
0.000 3.790 0.000
0.000 0.000 7.599
Cr Ni Rh
1 1 6
direct
0.000 0.000 0.000
0.000 0.000 0.500
0.000 0.500 0.248
0.000 0.500 0.752
0.500 0.000 0.248
0.500 0.000 0.752
0.500 0.500 0.000
0.500 0.500 0.500

[2]
PBE-GGA Cr2Ni3Rh, relaxed; excess energy over the best structure of this formula in the dataset = 0.000 eV/atom; E_form = 1.233 eV per formula unit; calculated volume = 297 Å³/cell; crystal system = tetragonal
1.0
-3.774 3.774 5.206
3.774 -3.774 5.206
3.774 3.774 -5.206
Cr Ni Rh
8 12 4
direct
0.285 0.362 0.577
0.285 0.707 0.923
0.293 0.715 0.577
0.362 0.285 0.077
0.638 0.715 0.923
0.707 0.285 0.423
0.715 0.293 0.077
0.715 0.638 0.423
0.000 0.500 0.500
0.083 0.333 0.166
0.083 0.917 0.750
0.333 0.083 0.666
0.333 0.667 0.250
0.500 0.000 0.000
0.500 0.500 0.000
0.500 0.500 0.500
0.667 0.333 0.750
0.667 0.917 0.334
0.917 0.083 0.250
0.917 0.667 0.834
0.069 0.319 0.750
0.319 0.069 0.250
0.681 0.931 0.750
0.931 0.681 0.250

[3]
PBE-GGA Cr2NiRh2, relaxed; excess energy over the best structure of this formula in the dataset = 0.209 eV/atom; E_form = 0.952 eV per formula unit; calculated volume = 134 Å³/cell; crystal system = tetragonal
1.0
7.073 0.000 0.000
0.000 7.073 0.000
0.000 0.000 2.677
Cr Ni Rh
4 2 4
direct
0.115 0.385 0.000
0.385 0.885 0.000
0.615 0.115 0.000
0.885 0.615 0.000
0.000 0.000 0.000
0.500 0.500 0.000
0.177 0.677 0.500
0.323 0.177 0.500
0.677 0.823 0.500
0.823 0.323 0.500

[4]
PBE-GGA CrNi3Rh4, relaxed; excess energy over the best structure of this formula in the dataset = 0.000 eV/atom; E_form = -0.096 eV per formula unit; calculated volume = 205 Å³/cell; crystal system = orthorhombic
1.0
8.513 0.000 0.000
0.000 5.385 0.000
0.000 0.000 4.478
Cr Ni Rh
2 6 8
direct
0.000 0.000 0.000
0.500 0.000 0.000
0.000 0.500 0.000
0.250 0.000 0.350
0.250 0.500 0.346
0.500 0.500 0.000
0.750 0.000 0.650
0.750 0.500 0.654
0.000 0.248 0.500
0.000 0.752 0.500
0.250 0.253 0.860
0.250 0.747 0.860
0.500 0.248 0.500
0.500 0.752 0.500
0.750 0.253 0.140
0.750 0.747 0.140

[5]
PBE-GGA CrNiRh2, relaxed; E_form = -0.207 eV per formula unit; calculated volume = 51 Å³/cell; crystal system = orthorhombic
1.0
2.669 0.000 0.000
0.000 3.599 0.000
0.000 0.000 5.354
Cr Ni Rh
1 1 2
direct
0.000 0.000 0.000
0.000 0.000 0.500
0.500 0.500 0.250
0.500 0.500 0.750

[6]
PBE-GGA Cr2NiRh7, relaxed; E_form = 4.265 eV per formula unit; calculated volume = 153 Å³/cell; crystal system = orthorhombic
1.0
4.009 -7.169 0.000
4.009 7.169 0.000
0.000 0.000 2.669
Cr Ni Rh
2 1 7
direct
0.170 0.830 0.000
0.830 0.170 0.000
0.500 0.500 0.500
0.000 0.000 0.000
0.169 0.367 0.000
0.311 0.689 0.500
0.367 0.169 0.000
0.633 0.831 0.000
0.689 0.311 0.500
0.831 0.633 0.000

[7]
PBE-GGA CrNi8Rh2, relaxed; E_form = 1.983 eV per formula unit; calculated volume = 135 Å³/cell; crystal system = monoclinic
1.0
7.134 -2.378 0.000
7.134 2.378 0.000
-0.162 0.000 3.966
Cr Ni Rh
1 8 2
direct
0.000 0.000 0.000
0.139 0.623 0.263
0.161 0.161 0.246
0.377 0.861 0.737
0.454 0.454 0.753
0.546 0.546 0.247
0.623 0.139 0.263
0.839 0.839 0.754
0.861 0.377 0.737
0.277 0.277 0.765
0.723 0.723 0.235

[8]
PBE-GGA CrNi6Rh2, relaxed; excess energy over the best structure of this formula in the dataset = 0.000 eV/atom; E_form = -0.106 eV per formula unit; calculated volume = 106 Å³/cell; crystal system = monoclinic
1.0
5.460 -1.787 0.000
5.460 1.787 0.000
-1.840 0.000 5.439
Cr Ni Rh
1 6 2
direct
0.000 0.000 0.000
0.115 0.115 0.677
0.224 0.224 0.332
0.330 0.330 0.998
0.670 0.670 0.002
0.776 0.776 0.668
0.885 0.885 0.323
0.446 0.446 0.676
0.554 0.554 0.324

[9]
PBE-GGA CrNi2Rh2, relaxed; excess energy over the best structure of this formula in the dataset = 0.081 eV/atom; E_form = 1.806 eV per formula unit; calculated volume = 132 Å³/cell; crystal system = tetragonal
1.0
6.918 0.000 0.000
0.000 6.918 0.000
0.000 0.000 2.751
Cr Ni Rh
2 4 4
direct
0.000 0.000 0.000
0.500 0.500 0.000
0.166 0.334 0.500
0.334 0.834 0.500
0.666 0.166 0.500
0.834 0.666 0.500
0.133 0.633 0.000
0.367 0.133 0.000
0.633 0.867 0.000
0.867 0.367 0.000

[10]
PBE-GGA Cr2Ni5Rh2, relaxed; excess energy over the best structure of this formula in the dataset = 0.009 eV/atom; E_form = 0.007 eV per formula unit; calculated volume = 106 Å³/cell; crystal system = triclinic
1.0
4.431 0.000 0.000
0.691 4.389 0.000
0.765 1.384 5.456
Cr Ni Rh
2 5 2
direct
0.110 0.055 0.278
0.890 0.945 0.722
0.000 0.500 0.500
0.223 0.599 0.062
0.437 0.723 0.610
0.563 0.277 0.390
0.777 0.401 0.938
0.321 0.161 0.830
0.679 0.839 0.170

[11]
PBE-GGA CrNiRh2, relaxed; E_form = 0.155 eV per formula unit; calculated volume = 51 Å³/cell; crystal system = tetragonal
1.0
2.657 0.000 0.000
0.000 2.657 0.000
0.000 0.000 7.288
Cr Ni Rh
1 1 2
direct
0.000 0.000 0.000
0.500 0.500 0.228
0.000 0.000 0.479
0.500 0.500 0.758

[12]
PBE-GGA Cr6NiRh8, relaxed; E_form = 1.907 eV per formula unit; calculated volume = 209 Å³/cell; crystal system = trigonal
1.0
3.446 1.989 5.070
-3.446 1.989 5.070
0.000 -3.979 5.070
Cr Ni Rh
6 1 8
direct
0.069 0.382 0.667
0.333 0.931 0.618
0.382 0.667 0.069
0.618 0.333 0.931
0.667 0.069 0.382
0.931 0.618 0.333
0.000 0.000 0.000
0.149 0.828 0.393
0.172 0.607 0.851
0.261 0.261 0.261
0.393 0.149 0.828
0.607 0.851 0.172
0.739 0.739 0.739
0.828 0.393 0.149
0.851 0.172 0.607